Entry 1:
Density functional theory data (GGA-PBE) for a geometry-optimized BC2 structure.

Properties
The symmetry is P1. The value obtained for the density of states at the Fermi level is 0.136 states/eV/atom. Its excess energy over the best structure of this formula in the dataset is 98 meV per atom.

Structure (CIF):
```
data_BC2
_chemical_formula_sum 'B4 C8'
_space_group_name_H-M_alt 'P 1'
_space_group_IT_number 1
_space_group_name_Hall 'P 1'
_cell_length_a 5.7628
_cell_length_b 5.8284
_cell_length_c 3.6944
_cell_angle_alpha 87.45
_cell_angle_beta 92.56
_cell_angle_gamma 141.66
loop_
_atom_site_label
_atom_site_type_symbol
_atom_site_fract_x
_atom_site_fract_y
_atom_site_fract_z
C1 C 0.6787 0.8438 0.7414
C2 C 0.9751 0.4620 0.7769
C3 C 0.0006 0.9886 0.9897
C4 C 0.8250 0.1674 0.5177
C5 C 0.5159 0.0178 0.2531
C6 C 0.8296 0.6589 0.2305
C7 C 0.3314 0.1657 0.7566
C8 C 0.6650 0.3340 0.0053
B1 B 0.1790 0.8441 0.5141
B2 B 0.5435 0.5253 0.5172
B3 B 0.3642 0.7147 0.9802
B4 B 0.0921 0.2777 0.2173
```

Entry 2:
Density functional theory data (GGA-PBE) for a geometry-optimized KBa8Pd4 structure.

Properties
The symmetry is Cm. The value obtained for the density of states at the Fermi level is 0.645 states/eV/atom.

Structure (CIF):
```
data_KBa8Pd4
_chemical_formula_sum 'K1 Ba8 Pd4'
_space_group_name_H-M_alt 'P 1'
_space_group_IT_number 1
_space_group_name_Hall 'P 1'
_cell_length_a 4.6739
_cell_length_b 11.6456
_cell_length_c 12.0255
_cell_angle_alpha 81.68
_cell_angle_beta 78.79
_cell_angle_gamma 78.42
loop_
_atom_site_label
_atom_site_type_symbol
_atom_site_fract_x
_atom_site_fract_y
_atom_site_fract_z
Ba1 Ba 0.8486 0.9901 0.3128
Ba2 Ba 0.8828 0.6751 0.5594
Ba3 Ba 0.2272 0.6526 0.8930
Ba4 Ba 0.4764 0.3434 0.7038
Ba5 Ba 0.5551 0.6600 0.2298
Ba6 Ba 0.1828 0.0130 0.6214
Ba7 Ba 0.1492 0.3277 0.3740
Ba8 Ba 0.8041 0.3513 0.0404
Pd1 Pd 0.6630 0.1723 0.5017
Pd2 Pd 0.3685 0.8307 0.4324
Pd3 Pd 0.1786 0.5027 0.1401
Pd4 Pd 0.8527 0.5011 0.7934
K1 K 0.5153 0.0020 0.9673
```

Entry 3:
Density functional theory data (GGA-PBE) for a geometry-optimized Sm2ZnIn3 structure.

Properties
The symmetry is Pmm2. The value obtained for the density of states at the Fermi level is 0.560 states/eV/atom. Its excess energy over the best structure of this formula in the dataset is 2 meV per atom.

Structure (CIF):
```
data_Sm2ZnIn3
_chemical_formula_sum 'Sm2 Zn1 In3'
_space_group_name_H-M_alt 'P 1'
_space_group_IT_number 1
_space_group_name_Hall 'P 1'
_cell_length_a 3.7365
_cell_length_b 4.8158
_cell_length_c 8.4108
_cell_angle_alpha 90.00
_cell_angle_beta 90.00
_cell_angle_gamma 90.00
loop_
_atom_site_label
_atom_site_type_symbol
_atom_site_fract_x
_atom_site_fract_y
_atom_site_fract_z
In1 In 0.5000 0.0000 0.1794
In2 In 0.5000 0.5000 0.6519
In3 In 0.5000 0.0000 0.8362
Sm1 Sm 0.0000 0.0000 0.4958
Sm2 Sm 0.0000 0.5000 0.0066
Zn1 Zn 0.5000 0.5000 0.3301
```

Entry 4:
Density functional theory data (GGA-PBE) for a geometry-optimized ZrV2Pb structure.

Properties
The symmetry is I-42d. The value obtained for the density of states at the Fermi level is 1.578 states/eV/atom.

Structure (CIF):
```
data_ZrV2Pb
_chemical_formula_sum 'Zr2 V4 Pb2'
_space_group_name_H-M_alt 'P 1'
_space_group_IT_number 1
_space_group_name_Hall 'P 1'
_cell_length_a 7.4917
_cell_length_b 7.4917
_cell_length_c 6.0237
_cell_angle_alpha 51.55
_cell_angle_beta 51.55
_cell_angle_gamma 90.00
loop_
_atom_site_label
_atom_site_type_symbol
_atom_site_fract_x
_atom_site_fract_y
_atom_site_fract_z
V1 V 0.6248 0.1250 0.2500
V2 V 0.3750 0.3752 0.7500
V3 V 0.8750 0.8748 0.7500
V4 V 0.1252 0.6250 0.2500
Pb1 Pb 0.7500 0.2500 0.5000
Pb2 Pb 0.0000 0.0000 0.0000
Zr1 Zr 0.5000 0.5000 0.0000
Zr2 Zr 0.2500 0.7500 0.5000
```

no.,formation energy from the elements (eV/atom)
1,0.338
2,-0.385
3,-0.445
4,0.841